Record 1
meta-GGA SCAN TiSiCl2, single point on PBEsol structure; uncorrected energy = -0.3829 Ha/atom; formation energy from raw total energies = 0.080 eV per atom
1.0
6.2531 0.0000 0.0000
0.0000 6.2531 0.0000
0.0000 0.0000 10.3420
Ti Si Cl
4 4 8
Cartesian
0.0000 0.0000 0.0000
0.0000 3.1265 2.5855
3.1265 0.0000 7.7565
3.1265 3.1265 5.1710
0.0000 0.0000 5.1710
0.0000 3.1265 7.7565
3.1265 0.0000 2.5855
3.1265 3.1265 0.0000
1.1283 1.5633 1.2927
1.5633 4.2548 3.8782
1.5633 5.1248 9.0492
1.9982 1.5633 6.4637
4.2548 4.6898 6.4637
4.6898 1.1283 9.0492
4.6898 1.9982 3.8782
5.1248 4.6898 1.2927

Record 2
meta-GGA SCAN TlSiCl2, single point on PBEsol structure; uncorrected energy = -0.9056 Ha/atom; formation energy from raw total energies = -0.061 eV per atom; polymorph energy (0 for the lowest one) = 0.2903 eV per atom
1.0
3.5684 0.0000 0.0000
0.0000 4.4320 0.0000
0.0000 0.0000 5.6348
Tl Si Cl
1 1 2
Cartesian
0.0000 0.0000 0.0000
1.7842 0.0000 2.8174
0.0000 2.2160 2.8174
1.7842 2.2160 0.0000